[1]
Below is a relaxed structure of CsBe3Al, with properties calculated at the PBE level.

Relative energy among the computed polymorphs, eV/atom: 0.000
E_tot, Ry/atom: -0.152
DOS(E_F), states/eV/atom: 0.39
Density, g/cm3: 2.8
Total magnetization, μB per formula unit: 0.00
SG: Pm-3m, No. 221

extended XYZ file:
```
5
Lattice="4.822 0.000 0.000 0.000 4.822 0.000 0.000 0.000 4.822" Properties=species:S:1:pos:R:3 pbc="T T T"
Be 0.000 2.411 0.000
Be 2.411 0.000 0.000
Al 0.000 0.000 0.000
Be 0.000 0.000 2.411
Cs 2.411 2.411 2.411
```

***

[2]
Below is a relaxed structure of CsBe3Al, with properties calculated at the PBE level.

Relative energy among the computed polymorphs, eV/atom: 1.411
E_tot, Ry/atom: -0.048
DOS(E_F), states/eV/atom: 0.80
Density, g/cm3: 1.6
Total magnetization, μB per formula unit: 0.00
SG: Pm-3m, No. 221

extended XYZ file:
```
5
Lattice="-3.438 0.638 -4.607 -3.527 -4.092 2.065 -3.031 4.037 2.822" Properties=species:S:1:pos:R:3 pbc="T T T"
Cs 0.000 0.000 0.000
Be -1.516 2.019 1.411
Be -1.719 0.319 -2.303
Al -4.998 0.292 0.140
Be -1.763 -2.046 1.033
```

***

[3]
Below is a relaxed structure of Cs2Be2Al, with properties calculated at the PBE level.

E_tot, Ry/atom: -0.123
DOS(E_F), states/eV/atom: 0.99
Density, g/cm3: 3.5
Total magnetization, μB per formula unit: 0.00
SG: P4/mbm, No. 127

extended XYZ file:
```
10
Lattice="-6.295 1.559 -2.363 -2.291 -6.190 2.020 -1.475 2.330 5.466" Properties=species:S:1:pos:R:3 pbc="T T T"
Al -4.293 -2.315 -0.172
Cs -3.449 -2.774 3.681
Cs -6.613 0.474 1.443
Be -4.196 0.214 -1.223
Be -1.634 -2.149 0.475
Al 0.000 0.000 0.000
Be -6.952 -2.482 -0.818
Cs -6.907 -2.832 2.772
Cs -3.155 0.532 2.351
Be -4.391 -4.845 0.880
```

***

[4]
Below is a relaxed structure of Cs3BeAl, with properties calculated at the PBE level.

Relative energy among the computed polymorphs, eV/atom: 0.000
E_tot, Ry/atom: -0.083
DOS(E_F), states/eV/atom: 1.75
Density, g/cm3: 2.2
Total magnetization, μB per formula unit: 1.09
SG: Pm-3m, No. 221

extended XYZ file:
```
5
Lattice="-1.690 3.139 -5.907 -4.089 -5.307 -1.650 -5.294 3.096 3.160" Properties=species:S:1:pos:R:3 pbc="T T T"
Cs -2.647 1.548 1.580
Be 0.000 0.000 0.000
Cs -0.845 1.570 -2.953
Al -5.537 0.464 -2.198
Cs -2.044 -2.653 -0.825
```

***

[5]
Below is a relaxed structure of Cs2BeAlI6, with properties calculated at the PBE level.

E_tot, Ry/atom: -0.192
DOS(E_F), states/eV/atom: 0.17
Density, g/cm3: 4.7
Formation energy (no corrections), eV per atom: -0.7670
Total magnetization, μB per formula unit: 0.00
SG: I4/mmm, No. 139

extended XYZ file:
```
10
Lattice="-1.184 0.082 7.981 -7.045 -3.802 -1.006 -1.428 -6.957 3.938" Properties=species:S:1:pos:R:3 pbc="T T T"
I -2.699 -0.922 5.658
Cs -6.294 -6.310 3.210
I -5.530 -2.798 1.317
I -6.102 -2.759 5.172
Al 0.000 0.000 0.000
Cs -3.364 -4.368 7.703
I -2.785 -4.383 3.711
I -2.127 -0.962 1.803
Be -4.115 -1.860 3.487
I -6.873 -6.294 7.202
```

***

[6]
Below is a relaxed structure of Cs2BeAlOs, with properties calculated at the PBE level.

E_tot, Ry/atom: -0.176
DOS(E_F), states/eV/atom: 1.02
Density, g/cm3: 3.6
Total magnetization, μB per formula unit: 3.36
SG: P4/mmm, No. 123

extended XYZ file:
```
5
Lattice="7.135 0.000 0.000 0.000 4.439 0.000 0.000 0.000 7.135" Properties=species:S:1:pos:R:3 pbc="T T T"
Cs 0.000 0.000 3.567
Al 0.000 0.000 0.000
Be 0.000 2.219 0.000
Cs 3.567 0.000 0.000
Os 3.567 2.219 3.567
```

***

[7]
Below is a relaxed structure of BeAlCu, with properties calculated at the PBE level.

Relative energy among the computed polymorphs, eV/atom: 0.228
E_tot, Ry/atom: -0.275
DOS(E_F), states/eV/atom: 0.60
Density, g/cm3: 4.2
Total magnetization, μB per formula unit: 0.00
SG: F-43m, No. 216

extended XYZ file:
```
3
Lattice="-2.682 -0.854 -2.595 -3.120 -1.959 1.045 -3.405 1.746 0.120" Properties=species:S:1:pos:R:3 pbc="T T T"
Be -6.906 -0.800 -1.073
Al -4.604 -0.533 -0.715
Cu 0.000 0.000 0.000
```

***

[8]
Below is a relaxed structure of BeAlCu2, with properties calculated at the PBE level.

E_tot, Ry/atom: -0.297
DOS(E_F), states/eV/atom: 0.18
Density, g/cm3: 5.8
Total magnetization, μB per formula unit: 0.00
SG: P4/mmm, No. 123

extended XYZ file:
```
4
Lattice="3.936 -0.027 0.000 0.028 3.936 0.000 0.000 0.000 3.006" Properties=species:S:1:pos:R:3 pbc="T T T"
Cu 0.000 0.000 0.000
Al 1.968 -0.014 1.503
Be 0.014 1.968 1.503
Cu 1.982 1.954 0.000
```

***

Which of these has the highest density? BeAlCu2

***

Repeat the fourth record exactly.
Below is a relaxed structure of Cs3BeAl, with properties calculated at the PBE level.

Relative energy among the computed polymorphs, eV/atom: 0.000
E_tot, Ry/atom: -0.083
DOS(E_F), states/eV/atom: 1.75
Density, g/cm3: 2.2
Total magnetization, μB per formula unit: 1.09
SG: Pm-3m, No. 221

extended XYZ file:
```
5
Lattice="-1.690 3.139 -5.907 -4.089 -5.307 -1.650 -5.294 3.096 3.160" Properties=species:S:1:pos:R:3 pbc="T T T"
Cs -2.647 1.548 1.580
Be 0.000 0.000 0.000
Cs -0.845 1.570 -2.953
Al -5.537 0.464 -2.198
Cs -2.044 -2.653 -0.825
```